Here is an optimized crystal structure of VNiNF2 from the Alexandria database. Energies are from GGA+U.

As for the crystal system: tetragonal. For the energy, the calculation gives -24.20 eV/cell. The total magnetization comes out at 4.00 Bohr magnetons per cell.

The space group is P4/mmm (No. 123) and the conventional cell measures 3.741, 3.741 and 4.211 Å, with angles of 90.00, 90.00 and 90.00 degrees. The inequivalent atoms are V at (0.000, 0.000, 0.000), Ni at (0.500, 0.500, 0.500), N at (0.500, 0.500, 0.000) and F at (0.000, 0.500, 0.500).